[1]
{"formula": "Mg4ZnAg15", "functional": "PBE-GGA", "state": "optimized geometry", "cell": [[4.086, 0.000, 0.000], [0.000, 4.086, 0.000], [0.000, 0.000, 21.304]], "species": ["Ag", "Ag", "Ag", "Ag", "Ag", "Mg", "Ag", "Ag", "Ag", "Ag", "Ag", "Mg", "Ag", "Ag", "Ag", "Ag", "Ag", "Mg", "Zn", "Mg"], "fractional_positions": [[0.500, 0.000, 0.097], [0.500, 0.000, 0.500], [0.500, 0.500, 0.601], [0.000, 0.500, 0.500], [0.500, 0.500, 0.399], [0.000, 0.000, 0.601], [0.500, 0.500, 0.197], [0.500, 0.000, 0.298], [0.000, 0.500, 0.702], [0.000, 0.500, 0.097], [0.500, 0.500, 0.803], [0.000, 0.000, 0.198], [0.500, 0.000, 0.702], [0.500, 0.000, 0.903], [0.500, 0.500, 0.000], [0.000, 0.500, 0.903], [0.000, 0.500, 0.298], [0.000, 0.000, 0.399], [0.000, 0.000, 0.000], [0.000, 0.000, 0.802]], "m_tot_mub_per_atom": 0.00, "total_energy_ev_per_atom": -2.64, "vol_a3_per_atom": 17.79}


[2]
{"formula": "SO", "functional": "PBE-GGA", "state": "optimized geometry", "cell": [[-3.998, 1.214, -0.874], [-2.028, -13.668, -9.707], [-3.270, -5.105, 7.871]], "species": ["O", "O", "S", "S", "O", "O", "S", "S", "O", "S", "S", "O", "O", "O", "O", "S", "S", "O", "S", "S", "S", "S", "O", "S", "O", "S", "O", "S", "S", "O", "O", "O"], "fractional_positions": [[0.750, 0.750, 0.581], [0.000, 0.000, 0.169], [0.500, 0.810, 0.500], [0.750, 0.560, 0.750], [0.500, 0.000, 0.331], [0.000, 0.500, 0.331], [0.000, 0.310, 0.500], [0.750, 0.060, 0.250], [0.750, 0.250, 0.419], [0.500, 0.690, 0.000], [0.250, 0.060, 0.750], [0.750, 0.750, 0.919], [0.750, 0.250, 0.081], [0.000, 0.000, 0.831], [0.500, 0.000, 0.669], [0.750, 0.440, 0.250], [0.250, 0.440, 0.750], [0.250, 0.750, 0.419], [0.500, 0.190, 0.500], [0.500, 0.310, 0.000], [0.750, 0.940, 0.750], [0.000, 0.690, 0.500], [0.500, 0.500, 0.169], [0.000, 0.190, 0.000], [0.250, 0.250, 0.581], [0.250, 0.940, 0.250], [0.000, 0.500, 0.669], [0.250, 0.560, 0.250], [0.000, 0.810, 0.000], [0.500, 0.500, 0.831], [0.250, 0.250, 0.919], [0.250, 0.750, 0.081]], "m_tot_mub_per_atom": 0.00, "de_polymorph_mev_per_atom": 323, "formation_energy_uncorrected_kj_per_mol_fu": -46, "vol_a3_per_atom": 22.38}


[3]
{"formula": "Ba4Na3N", "functional": "PBE-GGA", "state": "optimized geometry", "cell": [[8.568, -0.170, -1.149], [-4.367, 7.373, 1.149], [-4.690, -2.091, 6.956]], "species": ["Na", "Ba", "Ba", "Ba", "Na", "Na", "Ba", "N"], "fractional_positions": [[0.680, 0.768, 0.449], [0.033, 0.739, 0.294], [0.556, 0.261, 0.294], [0.196, 0.657, 0.852], [0.680, 0.232, 0.912], [0.811, 0.000, 0.811], [0.196, 0.343, 0.539], [0.000, 0.500, 0.500]], "m_tot_mub_per_atom": 0.00, "de_polymorph_mev_per_atom": 15, "formation_energy_uncorrected_kj_per_mol_fu": -97, "vol_a3_per_atom": 50.69}


[4]
{"formula": "Ti2GePd", "functional": "PBE-GGA", "state": "optimized geometry", "cell": [[3.956, 0.000, 0.000], [0.000, 3.972, 0.000], [0.000, 0.000, 3.972]], "species": ["Pd", "Ti", "Ti", "Ge"], "fractional_positions": [[0.500, 0.500, 0.500], [0.000, 0.000, 0.500], [0.000, 0.500, 0.000], [0.500, 0.000, 0.000]], "m_tot_mub_per_atom": 0.00, "total_energy_ev_per_atom": -6.95, "vol_a3_per_atom": 15.61}